Run i
## U2TlSe4 (PBE)

Data for U2TlSe4 after structural relaxation.

**Space-group type**: I4_1/amd, No. 141
**Total moment**: 5.00 μB/f.u.

Structure (POSCAR):
```
U2TlSe4
1.0
-5.240 6.674 2.103
-7.010 -5.056 -1.325
6.268 -2.568 5.547
U Tl Se
4 2 8
direct
0.625 0.375 0.750
0.625 0.875 0.250
0.625 0.375 0.250
0.125 0.375 0.750
0.250 0.750 0.500
0.000 0.000 0.000
0.858 0.142 0.286
0.392 0.608 0.214
0.857 0.572 0.714
0.858 0.142 0.714
0.428 0.143 0.286
0.393 0.178 0.786
0.392 0.608 0.786
0.822 0.607 0.214
```


Run ii
## U2TlSe4 (PBE)

Data for U2TlSe4 after structural relaxation.

**Space-group type**: I-42d, No. 122
**Total moment**: 5.00 μB/f.u.

Structure (POSCAR):
```
U2TlSe4
1.0
-1.554 -2.173 -7.241
7.643 0.379 1.006
-3.003 -5.153 4.899
U Tl Se
4 2 8
direct
0.875 0.117 0.492
0.508 0.383 0.625
0.375 0.883 0.758
0.242 0.617 0.125
0.000 0.000 0.000
0.750 0.500 0.250
0.153 0.916 0.398
0.602 0.756 0.519
0.987 0.584 0.731
0.269 0.256 0.852
0.597 0.744 0.013
0.763 0.244 0.847
0.481 0.084 0.237
0.148 0.416 0.403
```


Looking at the structures above, which would you pick as the most stable? I would pick run i.